1.
VASP calculation (GGA-PBE) on a geometry-optimized NbTl2Cl4F2 structure.

Lattice parameters (Å, degrees): 5.7089 6.7788 6.7788 65.57 82.66 82.66
Closest atoms and distances in Å follow each position.
Sites, in units of the cell vectors:
Nb  0.5000  0.0000  0.0000  2 F 1.94
Tl  0.2175  0.6682  0.6682  1 F 3.20, 6 Cl 3.27-3.58
Tl  0.7825  0.3318  0.3318  1 F 3.20, 6 Cl 3.27-3.58
Cl  0.3054  0.6556  0.1409  1 Nb 2.48
Cl  0.6946  0.8591  0.3444  1 Nb 2.48
Cl  0.6946  0.3444  0.8591  1 Nb 2.48
Cl  0.3054  0.1409  0.6556  1 Nb 2.48
F  0.2386  0.1304  0.1304  1 Nb 1.94
F  0.7614  0.8696  0.8696  1 Nb 1.94

Computed properties:
As for the space group: No. 12. The value obtained for the uncorrected formation energy is -1.641 eV per atom. For the magnetic moment, the calculation gives 1.0 μB/cell. The crystal system is monoclinic.

---

2.
VASP calculation (GGA-PBE) on a geometry-optimized NdClF structure.

Lattice parameters (Å, degrees): 3.9689 6.5750 5.5361 98.98 110.99 90.00
Closest atoms and distances in Å follow each position.
Sites, in units of the cell vectors:
Nd  0.2200  0.7292  0.9403  3 F 2.42-2.44
Nd  0.7800  0.2708  0.0597  3 F 2.42-2.44
Cl  0.9268  0.7092  0.3543  4 Nd 2.94-3.03, 1 F 3.17
Cl  0.0732  0.2908  0.6457  4 Nd 2.94-3.03, 1 F 3.17
F  0.6691  0.9120  0.8383  3 Nd 2.42-2.44
F  0.3309  0.0880  0.1617  3 Nd 2.42-2.44

Computed properties:
As for the space group: No. 12. For the excess energy over the best structure of this formula in the dataset, the calculation gives 0 meV/atom. The value obtained for the uncorrected formation energy is -2.672 eV per atom. For the magnetic moment, the calculation gives 2.0 μB/cell. The crystal system is monoclinic.

---

3.
VASP calculation (GGA-PBE) on a geometry-optimized NdClF structure.

Lattice parameters (Å, degrees): 3.3897 3.3897 5.5375 107.82 107.82 90.00
Closest atoms and distances in Å follow each position.
Sites, in units of the cell vectors:
Cl  0.0147  0.0147  0.0295  1 F 2.79, 4 Nd 2.98
Nd  0.6913  0.6913  0.3826  4 F 2.61
F  0.2940  0.2940  0.5880  4 Nd 2.61, 1 Cl 2.79

Computed properties:
As for the space group: No. 107. For the excess energy over the best structure of this formula in the dataset, the calculation gives 136 meV/atom. The value obtained for the uncorrected formation energy is -2.537 eV per atom. For the magnetic moment, the calculation gives 0.0 μB/cell. The crystal system is tetragonal.

---

4.
VASP calculation (GGA-PBE) on a geometry-optimized NdClF structure.

Lattice parameters (Å, degrees): 3.7864 3.7864 5.5966 90.00 90.00 120.00
Closest atoms and distances in Å follow each position.
Sites, in units of the cell vectors:
F  0.3333  0.6667  0.5737  3 Nd 2.44
Nd  0.6667  0.3333  0.3791  3 F 2.44
Cl  0.0000  0.0000  0.0472  3 Nd 2.87

Computed properties:
As for the space group: No. 156. For the excess energy over the best structure of this formula in the dataset, the calculation gives 123 meV/atom. The value obtained for the uncorrected formation energy is -2.549 eV per atom. For the magnetic moment, the calculation gives 0.8 μB/cell. The crystal system is trigonal.

---

5.
VASP calculation (GGA-PBE) on a geometry-optimized Nd2ClF structure.

Lattice parameters (Å, degrees): 3.6969 3.6969 9.3148 78.55 78.55 60.00
Closest atoms and distances in Å follow each position.
Sites, in units of the cell vectors:
F  0.0000  0.0000  0.0000  2 Nd 2.26
Nd  0.0830  0.0830  0.7511  1 F 2.26
Nd  0.9170  0.9170  0.2489  1 F 2.26
Cl  0.5000  0.5000  0.5000  6 Nd 3.12

Computed properties:
As for the space group: No. 166. The value obtained for the uncorrected formation energy is -1.836 eV per atom. For the magnetic moment, the calculation gives 0.0 μB/cell. The crystal system is trigonal.

---

6.
VASP calculation (GGA-PBE) on a geometry-optimized NdClF structure.

Lattice parameters (Å, degrees): 4.6614 4.6635 6.6849 90.37 98.18 90.00
Closest atoms and distances in Å follow each position.
Sites, in units of the cell vectors:
F  0.2161  0.7487  0.8351  4 Nd 2.57-2.58
F  0.7839  0.2513  0.1649  4 Nd 2.57-2.58
Cl  0.3050  0.7522  0.2723  1 F 2.89, 4 Nd 2.94-2.95
Cl  0.6950  0.2478  0.7277  1 F 2.89, 4 Nd 2.94-2.95
Nd  0.7499  0.7500  0.9999  4 F 2.57-2.58
Nd  0.2501  0.2500  0.0001  4 F 2.57-2.58

Computed properties:
As for the space group: No. 2. For the excess energy over the best structure of this formula in the dataset, the calculation gives 105 meV/atom. The value obtained for the uncorrected formation energy is -2.567 eV per atom. For the magnetic moment, the calculation gives 0.0 μB/cell. The crystal system is triclinic.

---

7.
VASP calculation (GGA-PBE) on a geometry-optimized Nd2ClF6 structure.

Lattice parameters (Å, degrees): 4.2209 6.4858 6.4858 63.96 71.01 71.01
Closest atoms and distances in Å follow each position.
Sites, in units of the cell vectors:
Nd  0.3080  0.6920  0.6920  8 F 2.32-2.46
Nd  0.6920  0.3080  0.3080  8 F 2.32-2.46
Cl  0.0000  0.0000  0.0000  8 F 2.97-3.03, 2 Nd 3.13
F  0.1983  0.1201  0.4834  3 Nd 2.45-2.46, 3 F 2.50-2.54
F  0.8017  0.8799  0.5166  3 Nd 2.45-2.46, 3 F 2.50-2.54
F  0.8017  0.5166  0.8799  3 Nd 2.45-2.46, 3 F 2.50-2.54
F  0.5000  0.6836  0.3164  2 Nd 2.32, 1 F 2.52
F  0.5000  0.3164  0.6836  2 Nd 2.32, 1 F 2.52
F  0.1983  0.4834  0.1201  3 Nd 2.45-2.46, 3 F 2.50-2.54

Computed properties:
As for the space group: No. 71. The value obtained for the uncorrected formation energy is -3.411 eV per atom. For the magnetic moment, the calculation gives 1.0 μB/cell. The crystal system is orthorhombic.

---

8.
VASP calculation (GGA-PBE) on a geometry-optimized Nd6Os2Cl3F structure.

Lattice parameters (Å, degrees): 7.0364 7.0364 7.9239 98.50 98.50 120.23
Closest atoms and distances in Å follow each position.
Sites, in units of the cell vectors:
Nd  0.9309  0.5870  0.7941  2 Os 2.78, 1 F 2.88
Nd  0.7261  0.7261  0.2009  2 Os 2.77, 1 F 2.84
Nd  0.0691  0.4130  0.2059  2 Os 2.78, 1 F 2.88
Nd  0.5870  0.9309  0.7941  2 Os 2.78, 1 F 2.88
Nd  0.2739  0.2739  0.7991  2 Os 2.77, 1 F 2.84
Nd  0.4130  0.0691  0.2059  2 Os 2.78, 1 F 2.88
Os  0.3331  0.6669  0.0000  6 Nd 2.77-2.78
Os  0.6669  0.3331  0.0000  6 Nd 2.77-2.78
Cl  0.1713  0.8287  0.5000  6 Nd 3.14-3.31
Cl  0.8287  0.1713  0.5000  6 Nd 3.14-3.31
Cl  0.5000  0.5000  0.5000  6 Nd 3.22-3.26
F  0.0000  0.0000  0.0000  6 Nd 2.84-2.88

Computed properties:
As for the space group: No. 12. The value obtained for the uncorrected formation energy is -1.196 eV per atom. For the magnetic moment, the calculation gives 0.0 μB/cell. The crystal system is monoclinic.